No. 1
Entry from Alexandria via LeMat-Bulk: a relaxed Np2NiRu4 crystal (PBE).

Values from the calculation:
formation enthalpy at 0 K	0.1390	eV/atom
E_tot	-9.68	eV per atom
magnetic moment	3.87	μB/f.u.

abc: 5.0232 8.5450 5.2984
angles: 90.00 90.03 90.00
With the nearest neighbours (Å) after each atom.
Space group P2_1/c (No. 14)
Asymmetric unit:
Np  0.2406  0.0500  0.0006 [4 per cell]  3 Ru 2.55-2.72, 2 Np 2.56-2.74
Ni  0.5000  0.0000  0.5000 [2 per cell]  4 Ru 2.54
Ru  0.0176  0.1822  0.5021 [4 per cell]  1 Np 2.55, 2 Ru 2.68-2.69
Ru  0.4325  0.7500  0.2500 [4 per cell]  2 Ni 2.54, 4 Ru 2.65-2.69, 2 Np 2.71-2.72

No. 2
Entry from Alexandria via LeMat-Bulk: a relaxed Ba5Ge2As crystal (PBE).

Values from the calculation:
formation enthalpy at 0 K	-0.6540	eV/atom
E_tot	-3.59	eV per atom
magnetic moment	0.95	μB/f.u.

abc: 8.6956 8.6956 16.0652
angles: 90.00 90.00 90.00
With the nearest neighbours (Å) after each atom.
Space group I4/mcm (No. 140)
Asymmetric unit:
Ba  0.0000  0.0000  0.0000 [4 per cell]  4 Ge 3.53
Ba  0.1760  0.3240  0.1447 [16 per cell]  3 Ge 3.45-3.52, 2 As 3.62, 1 Ba 3.84
Ge  0.1090  0.3910  0.5000 [8 per cell]  1 Ge 2.68
As  0.0000  0.0000  0.2500 [4 per cell]  10 Ba 3.62-4.02

no.,ρ (kg/m3)
1,13683
2,4959